# Sr3MnSe, optimized geometry, DFT PBE-GGA
# * formation energy without anion corrections: -275 meV per atom
# * size of the total moment: 4.67 μB/f.u.
data_Sr3MnSe
_chemical_formula_sum 'Sr3 Mn1 Se1'
_cell_length_a 5.9444
_cell_length_b 5.9444
_cell_length_c 5.9444
_cell_angle_alpha 90.00
_cell_angle_beta 90.00
_cell_angle_gamma 90.00
_symmetry_space_group_name_H-M 'P 1'
_symmetry_Int_Tables_number 1
_symmetry_space_group_name_Hall 'P 1'
loop_
_atom_site_label
_atom_site_fract_x
_atom_site_fract_y
_atom_site_fract_z
_atom_site_occupancy
Sr1 0.0000 0.0000 0.5000 1
Sr2 0.5000 0.0000 0.0000 1
Se1 0.0000 0.0000 0.0000 1
Sr3 0.0000 0.5000 0.0000 1
Mn1 0.5000 0.5000 0.5000 1



# SrMnSe2, optimized geometry, DFT PBE-GGA
# * formation energy without anion corrections: -927 meV per atom
# * size of the total moment: 4.96 μB/f.u.
data_SrMnSe2
_chemical_formula_sum 'Sr1 Mn1 Se2'
_cell_length_a 5.4798
_cell_length_b 5.4798
_cell_length_c 5.4798
_cell_angle_alpha 135.70
_cell_angle_beta 107.56
_cell_angle_gamma 89.00
_symmetry_space_group_name_H-M 'P 1'
_symmetry_Int_Tables_number 1
_symmetry_space_group_name_Hall 'P 1'
loop_
_atom_site_label
_atom_site_fract_x
_atom_site_fract_y
_atom_site_fract_z
_atom_site_occupancy
Mn1 0.2500 0.7500 0.5000 1
Se1 0.0394 0.0394 0.0000 1
Se2 0.4606 0.4606 0.0000 1
Sr1 0.7500 0.2500 0.5000 1



# Sr3Mn5Se12, optimized geometry, DFT PBE-GGA
# * formation energy without anion corrections: -789 meV per atom
# * size of the total moment: 17.00 μB/f.u.
data_Sr3Mn5Se12
_chemical_formula_sum 'Sr12 Mn20 Se48'
_cell_length_a 13.8859
_cell_length_b 13.8859
_cell_length_c 13.8859
_cell_angle_alpha 109.47
_cell_angle_beta 109.47
_cell_angle_gamma 109.47
_symmetry_space_group_name_H-M 'P 1'
_symmetry_Int_Tables_number 1
_symmetry_space_group_name_Hall 'P 1'
loop_
_atom_site_label
_atom_site_fract_x
_atom_site_fract_y
_atom_site_fract_z
_atom_site_occupancy
Mn1 0.1250 0.3750 0.2500 1
Sr1 0.7500 0.3750 0.1250 1
Mn2 0.5000 0.0000 0.0000 1
Se1 0.6983 0.1110 0.0192 1
Se2 0.6790 0.4808 0.5918 1
Se3 0.0918 0.9127 0.1110 1
Se4 0.4808 0.8017 0.8890 1
Se5 0.4082 0.0192 0.3210 1
Se6 0.4808 0.6790 0.0918 1
Se7 0.8017 0.4808 0.3890 1
Se8 0.8017 0.3210 0.9127 1
Se9 0.0192 0.6110 0.6983 1
Se10 0.4127 0.1110 0.5918 1
Se11 0.4127 0.3017 0.3210 1
Se12 0.9127 0.8210 0.8017 1
Se13 0.3017 0.8890 0.9808 1
Se14 0.9082 0.8210 0.5192 1
Sr2 0.7500 0.8750 0.6250 1
Mn3 0.3750 0.1250 0.7500 1
Se15 0.1983 0.6790 0.0873 1
Se16 0.9808 0.5918 0.1790 1
Se17 0.0873 0.9082 0.3890 1
Mn4 0.1250 0.7500 0.3750 1
Se18 0.0192 0.4082 0.8210 1
Se19 0.8210 0.9082 0.0192 1
Sr3 0.3750 0.7500 0.6250 1
Mn5 0.6250 0.7500 0.8750 1
Se20 0.4082 0.3890 0.5873 1
Se21 0.9127 0.0918 0.6110 1
Mn6 0.0000 0.5000 0.0000 1
Se22 0.6983 0.5873 0.1790 1
Se23 0.6110 0.5918 0.9127 1
Sr4 0.1250 0.2500 0.8750 1
Se24 0.5918 0.6110 0.4127 1
Mn7 0.8750 0.2500 0.6250 1
Sr5 0.2500 0.6250 0.8750 1
Mn8 0.5000 0.0000 0.5000 1
Se25 0.5918 0.9808 0.6790 1
Se26 0.1110 0.6983 0.5192 1
Se27 0.1790 0.0873 0.6983 1
Mn9 0.3750 0.2500 0.1250 1
Se28 0.6790 0.1983 0.5873 1
Se29 0.1790 0.0918 0.9808 1
Se30 0.5873 0.8890 0.4082 1
Se31 0.5192 0.3210 0.9082 1
Sr6 0.8750 0.7500 0.1250 1
Se32 0.3890 0.4082 0.0873 1
Sr7 0.3750 0.6250 0.2500 1
Sr8 0.6250 0.3750 0.7500 1
Se33 0.3210 0.5192 0.4082 1
Se34 0.0918 0.1790 0.4808 1
Sr9 0.1250 0.8750 0.7500 1
Mn10 0.0000 0.0000 0.0000 1
Mn11 0.7500 0.1250 0.8750 1
Mn12 0.0000 0.0000 0.5000 1
Mn13 0.2500 0.3750 0.6250 1
Mn14 0.5000 0.5000 0.0000 1
Se35 0.3017 0.4127 0.8210 1
Sr10 0.6250 0.2500 0.3750 1
Se36 0.8890 0.3017 0.4808 1
Mn15 0.8750 0.6250 0.7500 1
Se37 0.1110 0.4127 0.0918 1
Mn16 0.6250 0.8750 0.2500 1
Se38 0.8890 0.5873 0.9082 1
Se39 0.1983 0.5192 0.6110 1
Mn17 0.2500 0.8750 0.1250 1
Sr11 0.2500 0.1250 0.3750 1
Se40 0.3890 0.9808 0.8017 1
Mn18 0.0000 0.5000 0.5000 1
Se41 0.8210 0.9127 0.3017 1
Se42 0.6110 0.0192 0.1983 1
Mn19 0.7500 0.6250 0.3750 1
Se43 0.5873 0.6983 0.6790 1
Mn20 0.5000 0.5000 0.5000 1
Sr12 0.8750 0.1250 0.2500 1
Se44 0.9808 0.3890 0.3017 1
Se45 0.3210 0.8017 0.4127 1
Se46 0.9082 0.0873 0.8890 1
Se47 0.5192 0.1983 0.1110 1
Se48 0.0873 0.1790 0.1983 1



# Sr2MnSe3, optimized geometry, DFT PBE-GGA
# * formation energy without anion corrections: -1503 meV per atom
# * size of the total moment: 5.00 μB/f.u.
data_Sr2MnSe3
_chemical_formula_sum 'Sr8 Mn4 Se12'
_cell_length_a 4.3268
_cell_length_b 8.8920
_cell_length_c 17.2653
_cell_angle_alpha 90.00
_cell_angle_beta 90.00
_cell_angle_gamma 90.00
_symmetry_space_group_name_H-M 'P 1'
_symmetry_Int_Tables_number 1
_symmetry_space_group_name_Hall 'P 1'
loop_
_atom_site_label
_atom_site_fract_x
_atom_site_fract_y
_atom_site_fract_z
_atom_site_occupancy
Sr1 0.2500 0.2570 0.9609 1
Mn1 0.2500 0.8749 0.8658 1
Sr2 0.2500 0.7570 0.5391 1
Se1 0.7500 0.3788 0.0727 1
Sr3 0.7500 0.7430 0.0391 1
Mn2 0.2500 0.3749 0.6342 1
Se2 0.2500 0.1212 0.5727 1
Se3 0.2500 0.9873 0.0982 1
Sr4 0.7500 0.5803 0.7839 1
Sr5 0.2500 0.4197 0.2161 1
Sr6 0.7500 0.2430 0.4609 1
Se4 0.2500 0.4873 0.4018 1
Mn3 0.7500 0.1251 0.1342 1
Se5 0.7500 0.8788 0.4273 1
Se6 0.7500 0.6830 0.2238 1
Se7 0.2500 0.6212 0.9273 1
Se8 0.7500 0.0127 0.9018 1
Se9 0.2500 0.8170 0.7238 1
Mn4 0.7500 0.6251 0.3658 1
Se10 0.2500 0.3170 0.7762 1
Se11 0.7500 0.5127 0.5982 1
Sr7 0.2500 0.9197 0.2839 1
Sr8 0.7500 0.0803 0.7161 1
Se12 0.7500 0.1830 0.2762 1



# SrMn4Se8, optimized geometry, DFT PBE-GGA
# * formation energy without anion corrections: -664 meV per atom
# * size of the total moment: 13.51 μB/f.u.
data_SrMn4Se8
_chemical_formula_sum 'Sr1 Mn4 Se8'
_cell_length_a 7.2655
_cell_length_b 7.2655
_cell_length_c 8.5982
_cell_angle_alpha 65.01
_cell_angle_beta 65.01
_cell_angle_gamma 60.00
_symmetry_space_group_name_H-M 'P 1'
_symmetry_Int_Tables_number 1
_symmetry_space_group_name_Hall 'P 1'
loop_
_atom_site_label
_atom_site_fract_x
_atom_site_fract_y
_atom_site_fract_z
_atom_site_occupancy
Mn1 0.5000 0.0000 0.0000 1
Sr1 0.5000 0.5000 0.5000 1
Se1 0.2320 0.2320 0.8108 1
Se2 0.7282 0.7282 0.8155 1
Se3 0.2320 0.7251 0.8108 1
Mn2 0.5000 0.5000 0.0000 1
Se4 0.7251 0.2320 0.8108 1
Se5 0.7680 0.7680 0.1892 1
Se6 0.2749 0.7680 0.1892 1
Se7 0.7680 0.2749 0.1892 1
Mn3 0.0000 0.5000 0.0000 1
Se8 0.2718 0.2718 0.1845 1
Mn4 0.0000 0.0000 0.0000 1



# SrMnSe2, optimized geometry, DFT PBE-GGA
# * formation energy without anion corrections: -992 meV per atom
# * size of the total moment: 4.58 μB/f.u.
data_SrMnSe2
_chemical_formula_sum 'Sr1 Mn1 Se2'
_cell_length_a 3.7160
_cell_length_b 4.0701
_cell_length_c 7.1246
_cell_angle_alpha 90.06
_cell_angle_beta 90.00
_cell_angle_gamma 90.00
_symmetry_space_group_name_H-M 'P 1'
_symmetry_Int_Tables_number 1
_symmetry_space_group_name_Hall 'P 1'
loop_
_atom_site_label
_atom_site_fract_x
_atom_site_fract_y
_atom_site_fract_z
_atom_site_occupancy
Mn1 0.5000 0.7500 0.7500 1
Se1 0.0000 0.7501 0.4989 1
Se2 0.0000 0.7499 0.0011 1
Sr1 0.5000 0.2500 0.2500 1



# SrMnSe, optimized geometry, DFT PBE-GGA
# * formation energy without anion corrections: -208 meV per atom
# * size of the total moment: 3.81 μB/f.u.
data_SrMnSe
_chemical_formula_sum 'Sr1 Mn1 Se1'
_cell_length_a 4.9006
_cell_length_b 4.9006
_cell_length_c 4.9006
_cell_angle_alpha 60.00
_cell_angle_beta 60.00
_cell_angle_gamma 60.00
_symmetry_space_group_name_H-M 'P 1'
_symmetry_Int_Tables_number 1
_symmetry_space_group_name_Hall 'P 1'
loop_
_atom_site_label
_atom_site_fract_x
_atom_site_fract_y
_atom_site_fract_z
_atom_site_occupancy
Se1 0.2500 0.2500 0.2500 1
Mn1 0.5000 0.5000 0.5000 1
Sr1 0.0000 0.0000 0.0000 1



# SrMnSe2, optimized geometry, DFT PBE-GGA
# * formation energy without anion corrections: -960 meV per atom
# * size of the total moment: 5.00 μB/f.u.
data_SrMnSe2
_chemical_formula_sum 'Sr1 Mn1 Se2'
_cell_length_a 7.4678
_cell_length_b 7.4678
_cell_length_c 7.4678
_cell_angle_alpha 150.88
_cell_angle_beta 149.74
_cell_angle_gamma 42.49
_symmetry_space_group_name_H-M 'P 1'
_symmetry_Int_Tables_number 1
_symmetry_space_group_name_Hall 'P 1'
loop_
_atom_site_label
_atom_site_fract_x
_atom_site_fract_y
_atom_site_fract_z
_atom_site_occupancy
Se1 0.7798 0.2798 0.5000 1
Sr1 0.4561 0.4561 0.0000 1
Mn1 0.2033 0.7033 0.5000 1
Se2 0.0608 0.0608 0.0000 1



Question: Which formula does entry 4 have?
Answer: Sr2MnSe3